The following is a GGA-PBE calculation of a relaxed SmEr2Zn2In2 crystal, from the Alexandria database.

The calculation puts the energy of formation from the pure elements at -276 meV/atom. For the volume, the calculation gives 524 Å³/cell.

The space group is R-3m (No. 166, hexagonal axes) and the conventional cell measures 4.7158, 4.7158 and 27.1909 Å, with angles of 90.00, 90.00 and 120.00 degrees. The asymmetric unit holds Sm at (0.0000, 0.0000, 0.0000), Er at (0.0000, 0.0000, 0.1285), Zn at (0.0000, 0.0000, 0.4021) and In at (0.0000, 0.0000, 0.2600).